No. 1
# PBE TmGaPb2O5, relaxed
data_TmGaPb2O5
_space_group_name_H-M_alt 'C m c 21'
_space_group_IT_number 36
_cell_length_a 3.3743
_cell_length_b 14.4132
_cell_length_c 12.2198
_cell_angle_alpha 90.00
_cell_angle_beta 90.00
_cell_angle_gamma 90.00
loop_
_space_group_symop_operation_xyz
'x,y,z'
'-x,-y,z+1/2'
'-x,y,z'
'x,-y,z+1/2'
'x+1/2,y+1/2,z'
'-x+1/2,-y+1/2,z+1/2'
'-x+1/2,y+1/2,z'
'x+1/2,-y+1/2,z+1/2'
loop_
_atom_site_label
_atom_site_fract_x
_atom_site_fract_y
_atom_site_fract_z
Tm1 0.0000 0.1972 0.0000
Ga1 0.0000 0.4607 0.3873
Pb1 0.0000 0.1000 0.6004
Pb2 0.0000 0.1501 0.2738
O1 0.0000 0.0285 0.9692
O2 0.0000 0.3013 0.6204
O3 0.0000 0.3308 0.3840
O4 0.0000 0.3475 0.9866
O5 0.0000 0.4710 0.7619
# - Uncorrected formation energy: -1.928 eV/atom
# - N(E_F): 0.0 states/eV per cell
# - Crystal system: orthorhombic

=====

No. 2
# PBE Hg2AsSe, relaxed
data_Hg2AsSe
_space_group_name_H-M_alt 'P m m m'
_space_group_IT_number 47
_cell_length_a 2.9548
_cell_length_b 5.5823
_cell_length_c 5.6315
_cell_angle_alpha 90.00
_cell_angle_beta 90.00
_cell_angle_gamma 90.00
loop_
_space_group_symop_operation_xyz
'x,y,z'
'-x,-y,-z'
'-x,-y,z'
'x,y,-z'
'x,-y,-z'
'-x,y,z'
'-x,y,-z'
'x,-y,z'
loop_
_atom_site_label
_atom_site_fract_x
_atom_site_fract_y
_atom_site_fract_z
Hg1 0.0000 0.0000 0.0000
Hg2 0.5000 0.5000 0.5000
As1 0.0000 0.0000 0.5000
Se1 0.5000 0.5000 0.0000
# - Uncorrected formation energy: 0.174 eV/atom
# - N(E_F): 1.5 states/eV per cell
# - Crystal system: orthorhombic

=====

No. 3
# PBE Sm3PN5, relaxed
data_Sm3PN5
_space_group_name_H-M_alt 'I 4/m c m'
_space_group_IT_number 140
_space_group_name_Hall '-I 4 2c'
_cell_length_a 6.6542
_cell_length_b 6.6542
_cell_length_c 10.7625
_cell_angle_alpha 90.00
_cell_angle_beta 90.00
_cell_angle_gamma 90.00
loop_
_atom_site_label
_atom_site_fract_x
_atom_site_fract_y
_atom_site_fract_z
Sm1 0.0000 0.0000 0.2500
Sm2 0.1800 0.3200 0.0000
P1 0.0000 0.5000 0.2500
N1 0.0000 0.0000 0.0000
N2 0.1364 0.3636 0.3462
# - Uncorrected formation energy: -1.172 eV/atom
# - N(E_F): 21.4 states/eV per cell
# - Crystal system: tetragonal

=====

No. 4
# PBE Pu5Zn2Ge5, relaxed
data_Pu5Zn2Ge5
_space_group_name_H-M_alt 'C 1 2/m 1'
_space_group_IT_number 12
_cell_length_a 15.0904
_cell_length_b 4.4912
_cell_length_c 9.7251
_cell_angle_alpha 90.00
_cell_angle_beta 128.76
_cell_angle_gamma 90.00
loop_
_space_group_symop_operation_xyz
'x,y,z'
'-x,-y,-z'
'-x,y,-z'
'x,-y,z'
'x+1/2,y+1/2,z'
'-x+1/2,-y+1/2,-z'
'-x+1/2,y+1/2,-z'
'x+1/2,-y+1/2,z'
loop_
_atom_site_label
_atom_site_fract_x
_atom_site_fract_y
_atom_site_fract_z
Pu1 0.0000 0.0000 0.0000
Pu2 0.0968 0.0000 0.4202
Pu3 0.1873 0.0000 0.8345
Zn1 0.1506 0.5000 0.2653
Ge1 0.0000 0.5000 0.5000
Ge2 0.0576 0.5000 0.8542
Ge3 0.2440 0.5000 0.6832
# - Energy of formation from the pure elements: -373.9 meV per atom
# - N(E_F): 64.1 states/eV per cell
# - Crystal system: monoclinic

=====

No. 5
# PBE GePd2Pb2, relaxed
data_GePd2Pb2
_space_group_name_H-M_alt 'P 4/m b m'
_space_group_IT_number 127
_space_group_name_Hall '-P 4 2ab'
_cell_length_a 6.8000
_cell_length_b 6.8000
_cell_length_c 4.7075
_cell_angle_alpha 90.00
_cell_angle_beta 90.00
_cell_angle_gamma 90.00
loop_
_atom_site_label
_atom_site_fract_x
_atom_site_fract_y
_atom_site_fract_z
Ge1 0.0000 0.0000 0.0000
Pd1 0.1503 0.3497 0.0000
Pb1 0.1671 0.6671 0.5000
# - Energy of formation from the pure elements: -125.5 meV per atom
# - N(E_F): 4.1 states/eV per cell
# - Relative energy among the computed polymorphs: 0.0 meV/atom
# - Crystal system: tetragonal

=====

No. 6
# PBE PmNdAg4, relaxed
data_PmNdAg4
_space_group_name_H-M_alt 'P 1 21/m 1'
_space_group_IT_number 11
_cell_length_a 7.1687
_cell_length_b 4.8170
_cell_length_c 9.0305
_cell_angle_alpha 90.00
_cell_angle_beta 113.38
_cell_angle_gamma 90.00
loop_
_space_group_symop_operation_xyz
'x,y,z'
'-x,-y,-z'
'-x,y+1/2,-z'
'x,-y+1/2,z'
loop_
_atom_site_label
_atom_site_fract_x
_atom_site_fract_y
_atom_site_fract_z
Pm1 0.1277 0.2500 0.2556
Nd1 0.3776 0.7500 0.7554
Ag1 0.0391 0.2500 0.5830
Ag2 0.1971 0.2500 0.9171
Ag3 0.2787 0.7500 0.0830
Ag4 0.4576 0.7500 0.4170
# - Energy of formation from the pure elements: -258.3 meV per atom
# - N(E_F): 10.1 states/eV per cell
# - Relative energy among the computed polymorphs: 0.0 meV/atom
# - Crystal system: monoclinic

=====

No. 7
# PBE PmMnTlS3, relaxed
data_PmMnTlS3
_space_group_name_H-M_alt 'P 1 21/m 1'
_space_group_IT_number 11
_cell_length_a 8.8804
_cell_length_b 4.1460
_cell_length_c 9.4685
_cell_angle_alpha 90.00
_cell_angle_beta 104.29
_cell_angle_gamma 90.00
loop_
_space_group_symop_operation_xyz
'x,y,z'
'-x,-y,-z'
'-x,y+1/2,-z'
'x,-y+1/2,z'
loop_
_atom_site_label
_atom_site_fract_x
_atom_site_fract_y
_atom_site_fract_z
Pm1 0.1629 0.2500 0.1479
Mn1 0.4194 0.7500 0.3880
Tl1 0.3028 0.7500 0.7883
S1 0.0501 0.2500 0.8455
S2 0.3107 0.2500 0.4618
S3 0.3783 0.7500 0.1342
# - Uncorrected formation energy: -1.117 eV/atom
# - Crystal system: monoclinic

=====

No. 8
# PBE In2CoAs, relaxed
data_In2CoAs
_space_group_name_H-M_alt 'P m m m'
_space_group_IT_number 47
_cell_length_a 3.7829
_cell_length_b 4.4458
_cell_length_c 4.4887
_cell_angle_alpha 90.00
_cell_angle_beta 90.00
_cell_angle_gamma 90.00
loop_
_space_group_symop_operation_xyz
'x,y,z'
'-x,-y,-z'
'-x,-y,z'
'x,y,-z'
'x,-y,-z'
'-x,y,z'
'-x,y,-z'
'x,-y,z'
loop_
_atom_site_label
_atom_site_fract_x
_atom_site_fract_y
_atom_site_fract_z
In1 0.0000 0.0000 0.0000
In2 0.0000 0.5000 0.5000
Co1 0.5000 0.0000 0.5000
As1 0.5000 0.5000 0.0000
# - Energy of formation from the pure elements: 362.7 meV per atom
# - N(E_F): 1.6 states/eV per cell
# - Crystal system: orthorhombic

=====

No. 9
# PBE NaLa2Tl3, relaxed
data_NaLa2Tl3
_space_group_name_H-M_alt 'C m m m'
_space_group_IT_number 65
_space_group_name_Hall '-C 2 2'
_cell_length_a 5.4914
_cell_length_b 16.6063
_cell_length_c 7.9368
_cell_angle_alpha 90.00
_cell_angle_beta 90.00
_cell_angle_gamma 90.00
loop_
_atom_site_label
_atom_site_fract_x
_atom_site_fract_y
_atom_site_fract_z
Na1 0.0000 0.1671 0.0000
La1 0.0000 0.1637 0.5000
La2 0.0000 0.5000 0.0000
La3 0.0000 0.5000 0.5000
Tl1 0.0000 0.0000 0.2386
Tl2 0.0000 0.3277 0.2367
# - Energy of formation from the pure elements: -318.2 meV per atom
# - N(E_F): 21.7 states/eV per cell
# - Crystal system: orthorhombic

=====

No. 10
# PBE Nd2SmHg6, relaxed
data_Nd2SmHg6
_space_group_name_H-M_alt 'I m m m'
_space_group_IT_number 71
_space_group_name_Hall '-I 2 2'
_cell_length_a 3.5926
_cell_length_b 8.5870
_cell_length_c 15.4867
_cell_angle_alpha 90.00
_cell_angle_beta 90.00
_cell_angle_gamma 90.00
loop_
_atom_site_label
_atom_site_fract_x
_atom_site_fract_y
_atom_site_fract_z
Nd1 0.0000 0.0000 0.1488
Sm1 0.0000 0.5000 0.0000
Hg1 0.0000 0.1722 0.3301
Hg2 0.0000 0.3249 0.5000
# - Energy of formation from the pure elements: -372.7 meV per atom
# - N(E_F): 12.4 states/eV per cell
# - Relative energy among the computed polymorphs: 54.6 meV/atom
# - Crystal system: orthorhombic

=====

No. 11
# PBE PaNiSnRh, relaxed
data_PaNiSnRh
_space_group_name_H-M_alt 'F -4 3 m'
_space_group_IT_number 216
_space_group_name_Hall 'F -4 2 3'
_cell_length_a 6.6816
_cell_length_b 6.6816
_cell_length_c 6.6816
_cell_angle_alpha 90.00
_cell_angle_beta 90.00
_cell_angle_gamma 90.00
loop_
_atom_site_label
_atom_site_fract_x
_atom_site_fract_y
_atom_site_fract_z
Pa1 0.0000 0.0000 0.0000
Ni1 0.2500 0.2500 0.2500
Sn1 0.0000 0.0000 0.5000
Rh1 0.2500 0.2500 0.7500
# - Energy of formation from the pure elements: -488.5 meV per atom
# - N(E_F): 21.8 states/eV per cell
# - Crystal system: cubic

=====

No. 12
# PBE CePm3Y2Se6, relaxed
data_CePm3Y2Se6
_space_group_name_H-M_alt 'C 1 2/m 1'
_space_group_IT_number 12
_cell_length_a 18.1312
_cell_length_b 4.1403
_cell_length_c 8.3751
_cell_angle_alpha 90.00
_cell_angle_beta 103.32
_cell_angle_gamma 90.00
loop_
_space_group_symop_operation_xyz
'x,y,z'
'-x,-y,-z'
'-x,y,-z'
'x,-y,z'
'x+1/2,y+1/2,z'
'-x+1/2,-y+1/2,-z'
'-x+1/2,y+1/2,-z'
'x+1/2,-y+1/2,z'
loop_
_atom_site_label
_atom_site_fract_x
_atom_site_fract_y
_atom_site_fract_z
Ce1 0.0000 0.0000 0.0000
Pm1 0.0000 0.0000 0.5000
Pm2 0.1645 0.5000 0.8336
Y1 0.1654 0.5000 0.3299
Se1 0.0028 0.5000 0.2522
Se2 0.1681 0.0000 0.0904
Se3 0.1698 0.0000 0.5772
# - Uncorrected formation energy: -1.813 eV/atom
# - N(E_F): 22.0 states/eV per cell
# - Crystal system: monoclinic